Entry 1:
{
  "formula": "Hf3Cd5Hg12",
  "functional": "PBE",
  "state": "relaxed",
  "formation_energy_ev_per_atom": 0.328,
  "mass_density_g_cm3": 9.9,
  "n_ef_per_ev_atom": 0.764,
  "cell": [[-8.371, 8.371, 8.371], [8.371, -8.371, 8.371], [8.371, 8.371, -8.371]],
  "species": ["Hf", "Hf", "Hf", "Hf", "Hf", "Hf", "Hf", "Hf", "Hf", "Hf", "Hf", "Hf", "Cd", "Cd", "Cd", "Cd", "Cd", "Cd", "Cd", "Cd", "Cd", "Cd", "Cd", "Cd", "Cd", "Cd", "Cd", "Cd", "Cd", "Cd", "Cd", "Cd", "Hg", "Hg", "Hg", "Hg", "Hg", "Hg", "Hg", "Hg", "Hg", "Hg", "Hg", "Hg", "Hg", "Hg", "Hg", "Hg", "Hg", "Hg", "Hg", "Hg", "Hg", "Hg", "Hg", "Hg", "Hg", "Hg", "Hg", "Hg", "Hg", "Hg", "Hg", "Hg", "Hg", "Hg", "Hg", "Hg", "Hg", "Hg", "Hg", "Hg", "Hg", "Hg", "Hg", "Hg", "Hg", "Hg", "Hg", "Hg"],
  "frac_coords": [[0.125, 0.250, 0.375], [0.125, 0.375, 0.750], [0.250, 0.375, 0.125], [0.250, 0.875, 0.625], [0.375, 0.125, 0.250], [0.375, 0.750, 0.125], [0.625, 0.250, 0.875], [0.625, 0.875, 0.750], [0.750, 0.125, 0.375], [0.750, 0.625, 0.875], [0.875, 0.625, 0.250], [0.875, 0.750, 0.625], [0.000, 0.000, 0.000], [0.000, 0.000, 0.500], [0.000, 0.500, 0.000], [0.000, 0.500, 0.500], [0.125, 0.750, 0.875], [0.125, 0.875, 0.250], [0.250, 0.125, 0.875], [0.250, 0.625, 0.375], [0.375, 0.250, 0.625], [0.375, 0.625, 0.750], [0.500, 0.000, 0.000], [0.500, 0.000, 0.500], [0.500, 0.500, 0.000], [0.500, 0.500, 0.500], [0.625, 0.375, 0.250], [0.625, 0.750, 0.375], [0.750, 0.375, 0.625], [0.750, 0.875, 0.125], [0.875, 0.125, 0.750], [0.875, 0.250, 0.125], [0.067, 0.231, 0.141], [0.067, 0.336, 0.926], [0.074, 0.641, 0.410], [0.074, 0.933, 0.664], [0.090, 0.731, 0.664], [0.090, 0.859, 0.426], [0.141, 0.067, 0.231], [0.141, 0.574, 0.910], [0.164, 0.231, 0.590], [0.164, 0.433, 0.574], [0.231, 0.141, 0.067], [0.231, 0.590, 0.164], [0.269, 0.336, 0.910], [0.269, 0.433, 0.359], [0.336, 0.910, 0.269], [0.336, 0.926, 0.067], [0.359, 0.269, 0.433], [0.359, 0.590, 0.926], [0.410, 0.074, 0.641], [0.410, 0.836, 0.769], [0.426, 0.090, 0.859], [0.426, 0.836, 0.567], [0.433, 0.359, 0.269], [0.433, 0.574, 0.164], [0.567, 0.426, 0.836], [0.567, 0.641, 0.731], [0.574, 0.164, 0.433], [0.574, 0.910, 0.141], [0.590, 0.164, 0.231], [0.590, 0.926, 0.359], [0.641, 0.410, 0.074], [0.641, 0.731, 0.567], [0.664, 0.074, 0.933], [0.664, 0.090, 0.731], [0.731, 0.567, 0.641], [0.731, 0.664, 0.090], [0.769, 0.410, 0.836], [0.769, 0.859, 0.933], [0.836, 0.567, 0.426], [0.836, 0.769, 0.410], [0.859, 0.426, 0.090], [0.859, 0.933, 0.769], [0.910, 0.141, 0.574], [0.910, 0.269, 0.336], [0.926, 0.067, 0.336], [0.926, 0.359, 0.590], [0.933, 0.664, 0.074], [0.933, 0.769, 0.859]]
}



Entry 2:
{
  "formula": "Hf3Cd2Hg",
  "functional": "PBE",
  "state": "relaxed",
  "formation_energy_ev_per_atom": 0.419,
  "mass_density_g_cm3": 11.3,
  "n_ef_per_ev_atom": 1.044,
  "cell": [[6.426, -4.627, 0.000], [6.426, 4.627, 0.000], [0.000, 0.000, 4.733]],
  "species": ["Hf", "Hf", "Hf", "Hf", "Hf", "Hf", "Cd", "Cd", "Cd", "Cd", "Hg", "Hg"],
  "frac_coords": [[0.088, 0.912, 0.750], [0.112, 0.349, 0.250], [0.349, 0.112, 0.750], [0.651, 0.888, 0.250], [0.888, 0.651, 0.750], [0.912, 0.088, 0.250], [0.277, 0.495, 0.750], [0.495, 0.277, 0.250], [0.505, 0.723, 0.750], [0.723, 0.505, 0.250], [0.258, 0.742, 0.250], [0.742, 0.258, 0.750]]
}